# PBE Ac2NpPt9, relaxed
data_Ac2NpPt9
_chemical_formula_sum 'Ac6 Np3 Pt27'
_cell_length_a 5.5043
_cell_length_b 5.5043
_cell_length_c 27.3499
_cell_angle_alpha 90.00
_cell_angle_beta 90.00
_cell_angle_gamma 120.00
_space_group_name_H-M_alt 'R -3 m'
_space_group_IT_number 166
_space_group_name_Hall '-R 3 2"'
loop_
_atom_site_label
_atom_site_fract_x
_atom_site_fract_y
_atom_site_fract_z
Ac1 0.0000 0.0000 0.1383
Np1 0.0000 0.0000 0.0000
Pt1 0.0000 0.0000 0.3326
Pt2 0.0000 0.0000 0.5000
Pt3 0.0020 0.5010 0.9179
# Energy of formation (eV/atom): -0.736
# Energy (eV/cell): -253.05
# Density of states at the Fermi level (states/eV per atom): 1.508
# V (Å³ per atom): 19.93